(1)
Computed, not measured: a relaxed structure of ZnFe2As at the PBE level of DFT.

Energy (eV/atom): -5.59
Energy relative to the elements (eV/atom): 0.126
Total magnetization (Bohr magnetons per cell): 5.05
E above lowest polymorph (meV per atom): 79

Cell lengths 3.7892, 3.7892, 3.7296 Å; angles 90.00, 90.00, 90.00 degrees
Space group P4/mmm (No. 123)
Symmetry-distinct sites (fractional):
Zn: 0.0000 0.0000 0.0000 x1
Fe: 0.0000 0.5000 0.5000 x2
As: 0.5000 0.5000 0.0000 x1

---

(2)
Computed, not measured: a relaxed structure of ZnFe2As at the PBE level of DFT.

Energy (eV/atom): -5.60
Energy relative to the elements (eV/atom): 0.115
Total magnetization (Bohr magnetons per cell): 0.55
E above lowest polymorph (meV per atom): 68

Cell lengths 5.7512, 5.7512, 5.7512 Å; angles 90.00, 90.00, 90.00 degrees
Space group Fm-3m (No. 225)
Symmetry-distinct sites (fractional):
Zn: 0.0000 0.0000 0.0000 x4
Fe: 0.2500 0.2500 0.2500 x8
As: 0.0000 0.0000 0.5000 x4

---

(3)
Computed, not measured: a relaxed structure of ZnFe2As at the PBE level of DFT.

Energy (eV/atom): -5.57
Energy relative to the elements (eV/atom): 0.139
Total magnetization (Bohr magnetons per cell): 9.00
E above lowest polymorph (meV per atom): 93

Cell lengths 8.2229, 2.9226, 4.5686 Å; angles 90.00, 101.39, 90.00 degrees
Space group C2/m (No. 12)
Symmetry-distinct sites (fractional):
Zn: 0.0000 0.0000 0.0000 x2
Fe: 0.2470 0.0000 0.7418 x4
As: 0.0000 0.5000 0.5000 x2

---

(4)
Computed, not measured: a relaxed structure of ZnFe2As at the PBE level of DFT.

Energy (eV/atom): -5.50
Energy relative to the elements (eV/atom): 0.212
Total magnetization (Bohr magnetons per cell): 9.69
E above lowest polymorph (meV per atom): 165

Cell lengths 3.3501, 4.2790, 7.6430 Å; angles 90.00, 90.00, 90.00 degrees
Space group Cmmm (No. 65)
Symmetry-distinct sites (fractional):
Zn: 0.0000 0.0000 0.0000 x2
Fe: 0.0000 0.5000 0.2536 x4
As: 0.0000 0.0000 0.5000 x2

---

What is the energy relative to the elements in the first record? 0.126 eV/atom

---

Which value of energy does entry 2 give? -5.60 eV/atom